[1]
Material: KH3Rh
Method: DFT, PBE
State: optimized geometry

Lattice parameters (Å, degrees): 3.055 4.654 7.916 90.00 101.11 90.00
Element x y z (fractional)
1 K 0.073 0.250 0.146
2 K 0.927 0.750 0.854
3 H 0.207 0.525 0.413
4 H 0.207 0.975 0.413
5 H 0.409 0.250 0.819
6 H 0.591 0.750 0.181
7 H 0.793 0.025 0.587
8 H 0.793 0.475 0.587
9 Rh 0.297 0.250 0.594
10 Rh 0.703 0.750 0.406

Summary:
* energy above the most stable polymorph in this dataset: 181 meV per atom
* energy: -3.759 eV/atom
* calculated volume: 11.04 Å³/atom

***

[2]
Material: K2HRh
Method: DFT, PBE
State: optimized geometry

Lattice parameters (Å, degrees): 8.051 8.051 8.051 92.71 92.71 154.88
Element x y z (fractional)
1 K 0.375 0.174 0.299
2 K 0.826 0.125 0.201
3 K 0.875 0.076 0.701
4 K 0.924 0.625 0.799
5 H 0.000 0.000 0.000
6 H 0.750 0.250 0.500
7 Rh 0.250 0.750 0.500
8 Rh 0.500 0.500 0.000

Summary:
* energy above the most stable polymorph in this dataset: 0 meV per atom
* energy: -3.067 eV/atom
* calculated volume: 27.03 Å³/atom

***

[3]
Material: KH4Rh
Method: DFT, PBE
State: optimized geometry

Lattice parameters (Å, degrees): 6.009 6.009 5.451 101.17 101.17 113.39
Element x y z (fractional)
1 K 0.157 0.843 0.750
2 K 0.843 0.157 0.250
3 H 0.221 0.240 0.631
4 H 0.240 0.221 0.131
5 H 0.376 0.591 0.996
6 H 0.409 0.624 0.504
7 H 0.591 0.376 0.496
8 H 0.624 0.409 0.004
9 H 0.760 0.779 0.869
10 H 0.779 0.760 0.369
11 Rh 0.497 0.503 0.750
12 Rh 0.503 0.497 0.250

Summary:
* energy above the most stable polymorph in this dataset: 42 meV per atom
* energy: -3.727 eV/atom
* calculated volume: 14.09 Å³/atom